A plane-wave DFT calculation with PBE was carried out for a relaxed Ca2IrBr crystal.

Offset from the most stable computed form (eV per formula unit): 1.782
Uncorrected formation energy (eV/atom): -0.43
Volume (Å³/cell): 190.5

Cell and atoms, written as CIF:
```
data_Ca2IrBr
_space_group_name_H-M_alt 'I -4 m 2'
_space_group_IT_number 119
_space_group_name_Hall 'I -4 -2'
_cell_length_a 4.1436
_cell_length_b 4.1436
_cell_length_c 11.0943
_cell_angle_alpha 90.00
_cell_angle_beta 90.00
_cell_angle_gamma 90.00
loop_
_atom_site_label
_atom_site_fract_x
_atom_site_fract_y
_atom_site_fract_z
Ca1 0.0000 0.0000 0.0000
Ca2 0.0000 0.5000 0.2500
Ir1 0.0000 0.5000 0.7500
Br1 0.0000 0.0000 0.5000
```